First-principles (PBE+U) data for an optimized crystal structure of SbWO2, as listed in Alexandria.

a b c (Å): 6.8753 6.8753 6.8753
angles (deg): 28.22 28.22 28.22
Closest atoms and distances in Å follow each position.
Positions (direct):
O: 0.8842 0.8842 0.8842  3 W 2.18, 1 Sb 2.29
O: 0.1158 0.1158 0.1158  3 W 2.18, 1 Sb 2.29
W: 0.5000 0.5000 0.5000  6 O 2.18
Sb: 0.0000 0.0000 0.0000  2 O 2.29

**Space-group type**: R-3m
**Total energy**: -26.08 eV/cell
**M_tot**: 0.75 μB per atom